(1)
First-principles (PBEsol) data for a relaxed Mg2TaTe crystal, as listed in Alexandria via LeMat-Bulk.

Calculated values
**Formation energy from raw total energies**: 0.16 eV/atom
**ρ**: 7.18 g/cm3
**Space-group type**: Pm

Cell and atoms, written as extended XYZ:
```
4
Lattice="3.0032 0.0000 0.0657 0.0000 5.0640 0.0000 -0.1102 0.0000 5.4326" Properties=species:S:1:pos:R:3 pbc="T T T"
Mg 2.6028 2.5320 1.5526
Mg 2.5162 0.0000 5.4341
Ta 1.0730 0.0000 2.6872
Te 1.0405 2.5320 4.0719
```

***

(2)
First-principles (PBEsol) data for a relaxed ScSi2PRu crystal, as listed in Alexandria via LeMat-Bulk.

Calculated values
**Formation energy from raw total energies**: 0.31 eV/atom
**ρ**: 4.40 g/cm3
**Space-group type**: P4/mmm

Cell and atoms, written as extended XYZ:
```
5
Lattice="-3.6868 1.5054 1.5037 -2.0907 -1.3026 -3.8221 -0.8916 -4.0489 1.8676" Properties=species:S:1:pos:R:3 pbc="T T T"
Sc -3.3345 -1.9230 -0.2254
P 0.0000 0.0000 0.0000
Ru -1.8434 0.7527 0.7518
Si -1.0454 -0.6513 -1.9110
Si -0.4458 -2.0244 0.9338
```

***

(3)
First-principles (PBEsol) data for a relaxed Al2RePt crystal, as listed in Alexandria via LeMat-Bulk.

Calculated values
**Formation energy**: -0.39 eV/atom
**ρ**: 12.56 g/cm3
**Space-group type**: Pmm2

Cell and atoms, written as extended XYZ:
```
4
Lattice="-0.2906 2.7120 -0.0470 -3.5699 -0.3549 1.6004 2.1664 0.3171 4.9029" Properties=species:S:1:pos:R:3 pbc="T T T"
Re -0.2417 1.4257 4.5980
Al 2.1281 0.3114 4.8161
Al -1.3466 1.2640 2.0976
Pt 1.0158 0.1487 2.2989
```

***

(4)
First-principles (PBEsol) data for a relaxed Sm2Al2Fe15 crystal, as listed in Alexandria via LeMat-Bulk.

Calculated values
**Formation energy**: -0.05 eV/atom
**ρ**: 8.20 g/cm3
**Space-group type**: R-3m

Cell and atoms, written as extended XYZ:
```
19
Lattice="-2.9623 3.7679 -4.0622 -4.5188 2.0486 3.8545 2.7021 5.4094 1.7061" Properties=species:S:1:pos:R:3 pbc="T T T"
Fe -2.4125 3.0290 3.2278
Fe -4.0648 2.5501 1.5452
Fe -1.6724 5.5266 3.0243
Fe -3.1067 5.6993 -1.5259
Fe -0.8928 6.3878 -0.9411
Fe 0.5957 4.4291 2.3328
Fe 1.3510 2.7047 0.8530
Fe -1.4812 1.8840 -2.0311
Fe -0.2693 6.5216 1.3634
Fe -4.5097 4.7044 0.1350
Fe 1.0498 4.9306 0.0235
Fe -2.2594 1.0243 1.9273
Fe -1.3100 4.2467 -2.3796
Fe -3.4164 3.2664 -1.7529
Fe -3.8863 4.8381 2.4395
Al -0.4869 1.1437 0.1527
Al -4.2922 10.0822 1.3457
Sm -3.1210 7.3311 0.9785
Sm -1.6581 3.8948 0.5199
```

***

(5)
First-principles (PBEsol) data for a relaxed TlTcW2 crystal, as listed in Alexandria via LeMat-Bulk.

Calculated values
**Formation energy**: 0.79 eV/atom
**ρ**: 16.84 g/cm3
**Space-group type**: C2/m

Cell and atoms, written as extended XYZ:
```
4
Lattice="2.8015 0.0199 0.0345 -0.7358 5.1865 0.0395 -0.7358 -2.5603 4.5107" Properties=species:S:1:pos:R:3 pbc="T T T"
Tl 1.4008 0.0100 0.0173
W -0.3679 -1.2802 2.2554
W -0.3679 2.5933 0.0197
Tc 0.6650 1.3231 2.2924
```

***

(6)
First-principles (PBEsol) data for a relaxed Hf2ZrMnCu crystal, as listed in Alexandria via LeMat-Bulk.

Calculated values
**Formation energy**: 0.71 eV/atom
**ρ**: 9.22 g/cm3
**Space-group type**: P4/mmm

Cell and atoms, written as extended XYZ:
```
5
Lattice="-1.9361 1.1008 3.8183 3.8284 -1.6207 2.4085 1.9997 4.3618 -0.2435" Properties=species:S:1:pos:R:3 pbc="T T T"
Cu 0.0000 0.0000 0.0000
Hf 0.9999 2.1809 -0.1218
Hf 1.9142 -0.8103 1.2042
Mn -0.9681 0.5504 1.9092
Zr 1.9460 1.9210 2.9916
```

***

(7)
First-principles (PBEsol) data for a relaxed Zn2SiAg crystal, as listed in Alexandria via LeMat-Bulk.

Calculated values
**Formation energy from raw total energies**: 0.19 eV/atom
**ρ**: 7.15 g/cm3
**Space-group type**: Immm

Cell and atoms, written as extended XYZ:
```
4
Lattice="-0.8844 2.4166 0.7447 -4.5870 -1.5779 -0.3272 2.8761 -1.7728 4.3499" Properties=species:S:1:pos:R:3 pbc="T T T"
Zn 0.0717 -0.6907 2.3263
Zn -2.6669 -0.2434 2.4411
Si -2.2935 -0.7889 -0.1636
Ag -0.4422 1.2083 0.3724
```

***

(8)
First-principles (PBEsol) data for a relaxed Hg3SbAsS3 crystal, as listed in Alexandria via LeMat-Bulk.

Calculated values
**Formation energy from raw total energies**: -0.14 eV/atom
**ρ**: 7.74 g/cm3
**Space-group type**: P2_1/c

Cell and atoms, written as extended XYZ:
```
32
Lattice="4.2585 0.0000 0.0000 0.0000 11.4822 -0.0450 0.0000 -0.5088 15.7110" Properties=species:S:1:pos:R:3 pbc="T T T"
S 2.5000 9.8594 8.9109
S 3.9235 3.3663 13.0391
S 0.3707 6.6007 14.5881
S 3.7045 3.8108 8.4543
S 1.5753 1.1671 15.0897
S 0.3349 7.6071 2.6269
S 2.6832 9.8063 0.5763
S 0.5539 7.1626 7.2117
S 3.8877 4.3727 1.0779
S 2.4642 9.3618 5.1611
S 1.7585 1.1140 6.7551
S 1.7943 1.6116 10.5049
As 3.5660 9.9023 12.6761
As 2.8217 4.4156 4.8430
As 1.4367 6.5578 10.8230
As 0.6925 1.0711 2.9900
Sb 3.4480 1.3100 8.6735
Sb 0.8105 9.6633 6.9926
Sb 2.9397 7.3056 0.7954
Sb 1.3188 3.6678 14.8706
Hg 1.1469 4.0307 6.7120
Hg 3.0671 6.6253 12.7269
Hg 1.4207 4.0370 10.6869
Hg 3.5499 0.9409 12.8571
Hg 0.7086 10.0325 2.8089
Hg 0.9824 9.5174 14.5450
Hg 3.3206 1.1386 4.8939
Hg 0.9379 9.8348 10.7721
Hg 3.1116 6.9426 8.9540
Hg 1.1914 4.3481 2.9391
Hg 2.8378 6.9364 4.9791
Hg 3.2761 1.4559 1.1210
```

***

(9)
First-principles (PBEsol) data for a relaxed SiNi2Pt crystal, as listed in Alexandria via LeMat-Bulk.

Calculated values
**Formation energy from raw total energies**: -0.44 eV/atom
**ρ**: 11.89 g/cm3
**Space-group type**: Immm

Cell and atoms, written as extended XYZ:
```
4
Lattice="-0.0548 -2.4948 1.0966 0.5846 -1.6867 -3.8083 3.8427 2.2473 1.9171" Properties=species:S:1:pos:R:3 pbc="T T T"
Ni 2.3063 0.0879 0.3151
Ni 2.0663 -2.0221 -1.1098
Pt -0.0274 -1.2474 0.5483
Si 0.2923 -0.8434 -1.9042
```

***

(10)
First-principles (PBEsol) data for a relaxed LaB4Ir4 crystal, as listed in Alexandria via LeMat-Bulk.

Calculated values
**Formation energy**: -0.58 eV/atom
**ρ**: 13.57 g/cm3
**Space-group type**: P4_2/n

Cell and atoms, written as extended XYZ:
```
18
Lattice="-2.5813 -2.5483 -1.6055 -2.4254 -1.9524 6.9983 -5.2861 5.5358 -0.2876" Properties=species:S:1:pos:R:3 pbc="T T T"
Ir -6.0439 1.1465 -0.8496
Ir -6.9699 2.3585 1.5090
Ir -3.4534 0.8504 0.3557
Ir -6.2753 -2.1119 4.6943
Ir -1.6930 -0.3329 2.1969
Ir -3.8778 -1.8713 3.2510
Ir -6.2845 0.7325 5.0947
Ir -6.5734 3.3685 4.1686
B -7.2889 1.4879 3.4094
B -5.4044 3.8386 1.5486
B -4.7128 -0.6348 4.7321
B -2.8590 -0.8001 4.8188
B -8.1503 0.0647 4.2484
B -4.1719 -1.0331 -0.4054
B -5.0281 2.2147 0.7164
B -3.5558 -0.9977 1.3525
La -3.8557 1.7917 3.3553
La -1.2907 -1.2742 -0.8028
```

***

(11)
First-principles (PBEsol) data for a relaxed CaTl2Os crystal, as listed in Alexandria via LeMat-Bulk.

Calculated values
**Formation energy**: 0.62 eV/atom
**ρ**: 12.28 g/cm3
**Space-group type**: F-43m

Cell and atoms, written as extended XYZ:
```
4
Lattice="4.9622 0.0000 0.0000 2.4811 4.2974 0.0000 2.4811 1.4325 4.0516" Properties=species:S:1:pos:R:3 pbc="T T T"
Os 2.4811 1.4325 1.0129
Tl 7.4433 4.2974 3.0387
Tl 0.0000 0.0000 0.0000
Ca 4.9622 2.8649 2.0258
```

***

(12)
First-principles (PBEsol) data for a relaxed La3TlOs crystal, as listed in Alexandria via LeMat-Bulk.

Calculated values
**Formation energy**: -0.13 eV/atom
**ρ**: 8.22 g/cm3
**Space-group type**: Pm-3m

Cell and atoms, written as extended XYZ:
```
5
Lattice="-0.8165 -0.4671 5.3917 4.0976 -3.6152 0.3073 3.5352 4.0825 0.8891" Properties=species:S:1:pos:R:3 pbc="T T T"
La -0.4083 -0.2336 2.6958
La 2.0488 -1.8076 0.1537
La 1.7676 2.0413 0.4445
Tl 3.4082 0.0001 3.2940
Os 0.0000 0.0000 0.0000
```